#i
Ca2UAs3 | PBE-GGA | relaxed

a = 4.218 Å, b = 5.838 Å, c = 7.250 Å
α = 113.74°, β = 106.91°, γ = 90.00°
Fractional coordinates of all 6 atoms:
As: 0.000 0.000 0.000
As: 0.650 0.650 0.299
As: 0.350 0.350 0.701
Ca: 0.330 0.830 0.660
Ca: 0.670 0.170 0.340
U: 0.000 0.500 0.000

Output
Crystal system: orthorhombic


#ii
Ca2UAs3 | PBE-GGA | relaxed

a = 7.254 Å, b = 7.254 Å, c = 13.268 Å
α = 100.46°, β = 100.46°, γ = 109.62°
Fractional coordinates of all 24 atoms:
As: 0.391 0.414 0.325
As: 0.934 0.911 0.325
As: 0.229 0.229 0.000
As: 0.021 0.521 0.500
As: 0.161 0.684 0.825
As: 0.771 0.771 0.000
As: 0.316 0.839 0.175
As: 0.089 0.066 0.675
As: 0.859 0.336 0.175
As: 0.586 0.609 0.675
As: 0.664 0.141 0.825
As: 0.479 0.979 0.500
Ca: 0.998 0.498 0.996
Ca: 0.748 0.748 0.496
Ca: 0.581 0.581 0.162
Ca: 0.252 0.252 0.504
Ca: 0.831 0.331 0.662
Ca: 0.669 0.169 0.338
Ca: 0.502 0.002 0.004
Ca: 0.419 0.419 0.838
U: 0.916 0.916 0.833
U: 0.166 0.666 0.333
U: 0.084 0.084 0.167
U: 0.334 0.834 0.667

Output
Crystal system: orthorhombic


#ii is the most stable structure; the next one sits 17 meV/atom above it.